[1]
Sc2Mn4Zn: relaxed, GGA-PBE.

Cell: 4.489 4.489 7.732 Å, 73.13 73.13 90.00°
Last column: magnetic moment on the atom in μB.
Fractional positions:
Sc: 0.617 0.617 0.767  -0.38
Sc: 0.383 0.383 0.233  -0.38
Zn: 0.000 0.000 0.000  -0.04
Mn: 0.827 0.827 0.347  3.96
Mn: 0.173 0.173 0.653  3.96
Mn: 0.000 0.500 0.000  2.69
Mn: 0.500 0.000 0.000  2.69

Results
The value obtained for the density of states at the Fermi level is 8.289 states/eV per cell. The total energy is -6.473 eV/atom. The space group is I4/mmm (139).

---

[2]
Mg2TaZn: relaxed, GGA-PBE.

Cell: 5.449 5.449 2.787 Å, 90.00 90.00 116.12°
Fractional positions:
Mg: 0.000 0.000 0.000
Mg: 0.500 0.500 0.000
Ta: 0.500 0.000 0.500
Zn: 0.000 0.500 0.500

Results
The value obtained for the density of states at the Fermi level is 2.651 states/eV per cell. The total energy is -3.873 eV/atom. The space group is Cmmm (65).

---

DFT formation energy? In order: 0.76, 0.21 eV per atom.